Material: La9Pr2Ho
Method: DFT, PBE
State: relaxed

Structure (extended XYZ):
```
12
Lattice="5.2346 0.0000 0.0000 0.0000 5.2346 0.0000 0.0000 0.0000 15.7295" Properties=species:S:1:pos:R:3 pbc="T T T"
La 0.0000 0.0000 0.0000
La 0.0000 0.0000 5.2310
La 0.0000 0.0000 10.4985
La 0.0000 2.6173 2.5923
La 0.0000 2.6173 7.8648
La 0.0000 2.6173 13.1372
La 2.6173 0.0000 2.5923
La 2.6173 0.0000 7.8648
La 2.6173 0.0000 13.1372
Pr 2.6173 2.6173 5.2272
Pr 2.6173 2.6173 10.5023
Ho 2.6173 2.6173 0.0000
```

## Properties
The energy of formation from the pure elements is 0.12 kcal/mol of atoms. The density of states at the Fermi level comes out at 18.98 states/eV/cell. The total energy comes out at -4.87 eV per atom.

Material: La2PrHo3
Method: DFT, PBE
State: relaxed

Structure (extended XYZ):
```
12
Lattice="4.7779 -6.6103 0.0000 4.7779 6.6103 0.0000 0.0000 0.0000 6.5020" Properties=species:S:1:pos:R:3 pbc="T T T"
La 1.6311 0.8106 0.0000
La 1.6311 -0.8106 3.2510
La 7.9247 0.8106 0.0000
La 7.9247 -0.8106 3.2510
Pr 4.7779 2.2376 1.8287
Pr 4.7779 -2.2376 5.0797
Ho 3.0433 4.0625 6.3280
Ho 6.5125 4.0625 6.3280
Ho 4.7779 1.1729 4.9296
Ho 4.7779 -1.1729 1.6786
Ho 3.0433 -4.0625 3.0770
Ho 6.5125 -4.0625 3.0770
```

## Properties
The energy of formation from the pure elements is 4.40 kcal/mol of atoms. The density of states at the Fermi level comes out at 18.11 states/eV/cell. The total energy comes out at -4.54 eV per atom.

Material: La2Pr2Ho15
Method: DFT, PBE
State: relaxed

Structure (extended XYZ):
```
19
Lattice="5.6731 3.2753 5.7815 -5.6731 3.2753 5.7815 0.0000 -6.5507 5.7815" Properties=species:S:1:pos:R:3 pbc="T T T"
La 0.0000 0.0000 2.1022
La 0.0000 0.0000 15.2422
Pr 0.0000 0.0000 5.8594
Pr 0.0000 0.0000 11.4850
Ho -5.6731 0.0000 8.6722
Ho -1.7281 -3.5575 5.7815
Ho -2.8365 1.6377 2.8907
Ho -3.9450 0.2822 5.7815
Ho -2.7270 -1.5745 8.2455
Ho 1.7281 -3.5575 5.7815
Ho -2.2169 3.2753 5.7815
Ho 0.0000 -3.1489 9.0989
Ho -2.7270 1.5745 9.0989
Ho 2.8365 1.6377 2.8907
Ho 2.7270 -1.5745 8.2455
Ho 0.0000 3.1489 8.2455
Ho 3.9450 0.2822 5.7815
Ho 2.2169 3.2753 5.7815
Ho 2.7270 1.5745 9.0989
```

## Properties
The energy of formation from the pure elements is 6.17 kcal/mol of atoms. The density of states at the Fermi level comes out at 35.76 states/eV/cell. The total energy comes out at -4.37 eV per atom.

Material: LaPr12Ho3
Method: DFT, PBE
State: relaxed

Structure (extended XYZ):
```
16
Lattice="5.2061 0.0000 0.0000 0.0000 5.2061 0.0000 0.0000 0.0000 20.8239" Properties=species:S:1:pos:R:3 pbc="T T T"
La 0.0000 0.0000 0.0000
Pr 0.0000 2.6030 2.6676
Pr 0.0000 2.6030 7.8314
Pr 0.0000 2.6030 12.9926
Pr 0.0000 2.6030 18.1563
Pr 2.6030 0.0000 2.6676
Pr 2.6030 0.0000 7.8314
Pr 2.6030 0.0000 12.9926
Pr 2.6030 0.0000 18.1563
Pr 2.6030 2.6030 0.0000
Pr 2.6030 2.6030 5.2690
Pr 2.6030 2.6030 10.4120
Pr 2.6030 2.6030 15.5549
Ho 0.0000 0.0000 5.2458
Ho 0.0000 0.0000 10.4120
Ho 0.0000 0.0000 15.5781
```

## Properties
The energy of formation from the pure elements is 0.31 kcal/mol of atoms. The density of states at the Fermi level comes out at 25.71 states/eV/cell. The total energy comes out at -4.74 eV per atom.

Material: LaPrHo
Method: DFT, PBE
State: relaxed

Structure (extended XYZ):
```
3
Lattice="5.8087 0.0000 0.0000 -2.9044 5.0305 0.0000 0.0000 0.0000 3.5327" Properties=species:S:1:pos:R:3 pbc="T T T"
La 0.0000 0.0000 0.0000
Pr 2.9044 1.6768 1.7664
Ho 0.0000 3.3537 0.0000
```

## Properties
The energy of formation from the pure elements is 1.44 kcal/mol of atoms. The density of states at the Fermi level comes out at 3.97 states/eV/cell. The total energy comes out at -4.70 eV per atom.

Material: LaPr12Ho2
Method: DFT, PBE
State: relaxed

Structure (extended XYZ):
```
30
Lattice="3.6292 -5.8930 0.0000 3.6292 5.8930 0.0000 0.0000 0.0000 25.2828" Properties=species:S:1:pos:R:3 pbc="T T T"
La 3.6292 2.9465 25.0772
La 3.6292 -2.9465 0.2056
Pr 1.8719 2.9465 21.8777
Pr 3.6292 5.7057 1.8846
Pr 1.9596 2.9465 10.4935
Pr 3.6292 5.5999 14.1593
Pr 1.8146 0.0000 5.0393
Pr 1.8146 0.0000 8.2136
Pr 1.8146 0.0000 17.0692
Pr 1.8146 0.0000 20.2435
Pr 3.6292 0.2931 14.1593
Pr 5.2988 2.9465 10.4935
Pr 3.6292 0.1873 1.8846
Pr 5.3864 2.9465 21.8777
Pr 1.8719 -2.9465 3.4051
Pr 3.6292 -0.1873 23.3982
Pr 1.9596 -2.9465 14.7893
Pr 3.6292 -0.2931 11.1235
Pr 5.4437 0.0000 5.0393
Pr 5.4437 0.0000 8.2136
Pr 5.4437 0.0000 17.0692
Pr 5.4437 0.0000 20.2435
Pr 3.6292 -5.5999 11.1235
Pr 5.2988 -2.9465 14.7893
Pr 3.6292 -5.7057 23.3982
Pr 5.3864 -2.9465 3.4051
Ho 3.6292 2.9465 6.7699
Ho 3.6292 2.9465 18.4029
Ho 3.6292 -2.9465 6.8799
Ho 3.6292 -2.9465 18.5129
```

## Properties
The energy of formation from the pure elements is 3.45 kcal/mol of atoms. The density of states at the Fermi level comes out at 42.37 states/eV/cell. The total energy comes out at -4.61 eV per atom.

Material: La5Pr2Ho3
Method: DFT, PBE
State: relaxed

Structure (extended XYZ):
```
20
Lattice="5.5549 -7.4810 0.0000 5.5549 7.4810 0.0000 -5.5492 0.0000 8.5746" Properties=species:S:1:pos:R:3 pbc="T T T"
La 1.3930 7.2229 6.4310
La -1.3600 1.9404 6.4118
La 1.3930 4.1310 6.4310
La 1.4147 -1.9404 2.1245
La 4.1676 0.3502 2.1437
La 1.3930 -0.3502 6.4310
La 4.1460 1.9404 6.4501
La 4.1676 -4.1310 2.1437
La 6.9206 -1.9404 2.1628
La 4.1676 -7.2229 2.1437
Pr 1.4032 1.9240 0.5231
Pr -1.3714 -1.9240 4.8104
Pr 6.9321 1.9240 3.7642
Pr 4.1574 -1.9240 8.0515
Ho 1.4374 1.8886 3.8120
Ho 4.1676 3.4519 2.1437
Ho -1.3372 -1.8886 8.0993
Ho 6.8978 1.8886 0.4753
Ho 1.3930 -3.4519 6.4310
Ho 4.1232 -1.8886 4.7626
```

## Properties
The energy of formation from the pure elements is 3.65 kcal/mol of atoms. The density of states at the Fermi level comes out at 34.63 states/eV/cell. The total energy comes out at -4.63 eV per atom.

Material: La3Pr8Ho
Method: DFT, PBE
State: relaxed

Structure (extended XYZ):
```
12
Lattice="-4.4880 4.4880 5.8564 4.4880 -4.4880 5.8564 4.4880 4.4880 -5.8564" Properties=species:S:1:pos:R:3 pbc="T T T"
La 0.0000 0.0000 0.0000
La 4.4880 0.0000 2.9282
La 0.0000 4.4880 2.9282
Pr 1.0970 -1.0970 2.9464
Pr 2.2582 2.2582 -0.0678
Pr 2.2298 -2.2298 5.9242
Pr -1.0970 1.0970 2.9464
Pr 3.3910 3.3910 2.9100
Pr 2.2298 2.2298 5.7886
Pr -2.2298 2.2298 5.9242
Pr 1.0970 1.0970 8.7664
Ho 0.0000 0.0000 5.8564
```

## Properties
The energy of formation from the pure elements is 11.67 kcal/mol of atoms. The density of states at the Fermi level comes out at 18.94 states/eV/cell. The total energy comes out at -4.29 eV per atom.

Material: LaPr2Ho6
Method: DFT, PBE
State: relaxed

Structure (extended XYZ):
```
9
Lattice="9.8170 0.0000 0.0000 -4.9085 8.5017 0.0000 0.0000 0.0000 3.5553" Properties=species:S:1:pos:R:3 pbc="T T T"
La 0.0000 0.0000 0.0000
Pr 0.0000 5.6678 2.7145
Pr 4.9085 2.8339 0.8408
Ho -3.0765 5.6913 0.9601
Ho 1.5179 2.9918 0.9601
Ho 3.3499 0.1813 2.5952
Ho 1.5586 8.3204 0.9601
Ho 3.3906 5.5100 2.5952
Ho 7.9850 2.8104 2.5952
```

## Properties
The energy of formation from the pure elements is 1.73 kcal/mol of atoms. The density of states at the Fermi level comes out at 14.35 states/eV/cell. The total energy comes out at -4.59 eV per atom.

Material: La7PrHo12
Method: DFT, PBE
State: relaxed

Structure (extended XYZ):
```
20
Lattice="-5.6800 5.6800 5.6800 5.6800 -5.6800 5.6800 5.6800 5.6800 -5.6800" Properties=species:S:1:pos:R:3 pbc="T T T"
La 2.8400 2.8400 -2.8400
La 2.8400 -2.8400 2.8400
La 5.6800 0.0000 0.0000
La -2.8400 2.8400 2.8400
La 0.0000 5.6800 0.0000
La 0.0000 0.0000 5.6800
La 2.8400 2.8400 2.8400
Pr 0.0000 0.0000 0.0000
Ho 5.6800 2.8574 -2.8466
Ho 2.8333 0.0000 2.8226
Ho 8.5266 0.0000 2.8226
Ho 2.8226 2.8333 0.0000
Ho 2.8574 -2.8466 5.6800
Ho 0.0000 2.8226 2.8333
Ho 5.6800 2.8574 2.8466
Ho 2.8226 8.5266 0.0000
Ho 2.8574 2.8466 5.6800
Ho -2.8466 5.6800 2.8574
Ho 2.8466 5.6800 2.8574
Ho 0.0000 2.8226 8.5266
```

## Properties
The energy of formation from the pure elements is 14.03 kcal/mol of atoms. The density of states at the Fermi level comes out at 31.33 states/eV/cell. The total energy comes out at -4.10 eV per atom.

Material: LaPr5Ho3
Method: DFT, PBE
State: relaxed

Structure (extended XYZ):
```
18
Lattice="9.4327 -3.3013 0.0000 9.4327 3.3013 0.0000 -4.6586 0.0000 10.4303" Properties=species:S:1:pos:R:3 pbc="T T T"
La 5.9387 2.3620 7.8227
La 8.2680 -2.3620 2.6076
Pr 5.6113 2.1640 1.4261
Pr 2.5801 1.2915 8.2493
Pr 10.9247 2.1640 3.7891
Pr 8.2680 0.6698 2.6076
Pr 9.2974 1.2915 7.3962
Pr 4.9093 -1.2915 3.0341
Pr 5.9387 -0.6698 7.8227
Pr 3.2820 -2.1640 6.6412
Pr 11.6267 -1.2915 2.1810
Pr 8.5955 -2.1640 9.0042
Ho 0.0000 0.0000 0.0000
Ho -2.3293 0.0000 5.2151
Ho 4.1221 1.3272 5.0693
Ho 12.4139 1.3272 0.1458
Ho 1.7928 -1.3272 10.2845
Ho 10.0846 -1.3272 5.3610
```

## Properties
The energy of formation from the pure elements is 6.21 kcal/mol of atoms. The density of states at the Fermi level comes out at 27.16 states/eV/cell. The total energy comes out at -4.46 eV per atom.

Material: La2Pr7Ho3
Method: DFT, PBE
State: relaxed

Structure (extended XYZ):
```
12
Lattice="2.9591 -19.4750 0.0000 2.9591 19.4750 0.0000 0.0000 0.0000 3.6912" Properties=species:S:1:pos:R:3 pbc="T T T"
La 2.9591 13.6612 0.0000
La 2.9591 -13.6612 0.0000
Pr 0.0000 0.0000 0.0000
Pr 2.9591 16.6820 1.8456
Pr 2.9591 10.4509 0.0000
Pr 2.9591 3.5128 0.0000
Pr 2.9591 -3.5128 0.0000
Pr 2.9591 -10.4509 0.0000
Pr 2.9591 -16.6820 1.8456
Ho 2.9591 7.2369 1.8456
Ho 2.9591 0.0000 1.8456
Ho 2.9591 -7.2369 1.8456
```

## Properties
The energy of formation from the pure elements is 2.71 kcal/mol of atoms. The density of states at the Fermi level comes out at 21.04 states/eV/cell. The total energy comes out at -4.64 eV per atom.

Question: Which value of energy of formation from the pure elements does entry 12 give?
Answer: 2.71 kcal/mol of atoms

Question: The highest energy of formation from the pure elements belongs to which entry?
Answer: La7PrHo12

Question: Which value of energy of formation from the pure elements does entry 1 give?
Answer: 0.12 kcal/mol of atoms